Density functional theory data (PBE) for an optimized crystal structure of Ca2Ag2Sb.

```
Ca2Ag2Sb
1.0
-2.234 -5.268 1.069
2.659 -0.077 5.178
-3.175 -0.877 4.890
Sb Ag Ca
1 2 2
direct
0.000 0.000 0.000
0.345 0.345 0.310
0.655 0.655 0.690
0.750 0.250 0.500
0.250 0.750 0.500
```

As for the space group: I4/mmm. Its excess energy over the best structure of this formula in the dataset is 192 meV/atom.

***

Density functional theory data (PBE) for an optimized crystal structure of CaAgSb2.

```
CaAgSb2
1.0
-0.503 3.436 0.072
-2.430 -0.407 2.448
6.055 0.757 6.138
Sb Ag Ca
2 1 1
direct
0.000 0.000 0.484
0.000 0.000 0.016
0.500 0.500 0.250
0.500 0.500 0.750
```

As for the space group: P4/mmm.

***

Density functional theory data (PBE) for an optimized crystal structure of CaAgSb.

```
CaAgSb
1.0
-2.910 4.156 1.709
-3.451 0.650 4.031
1.690 1.978 3.347
Ca Ag Sb
1 1 1
direct
0.331 0.331 0.669
0.995 0.995 0.005
0.674 0.674 0.326
```

As for the space group: Fmm2.

***

no.,ΔE_f (raw) (eV/f.u.)
1,-1.39
2,-0.88
3,-1.12